# 1
## SrYN2F (PBE-GGA)

Data for an optimized crystal structure of SrYN2F.

Properties
The formation energy from raw total energies is -6.02 eV per formula unit.

Cell lengths 4.4390, 4.4390, 4.4275 Å; angles 90.00, 90.00, 90.00 degrees
Last column: nearest neighbours and their distance in Å.
Fractional coordinates of all 5 atoms:
Sr 0.0000 0.0000 0.0000  8 N 3.13, 4 F 3.14
Y 0.5000 0.5000 0.5000  2 F 2.21, 4 N 2.22
N 0.0000 0.5000 0.5000  2 Y 2.22
N 0.5000 0.0000 0.5000  2 Y 2.22
F 0.5000 0.5000 0.0000  2 Y 2.21

***

# 2
## SrYN2F (PBE-GGA)

Data for an optimized crystal structure of SrYN2F.

Properties
The formation energy from raw total energies is -1.48 eV per formula unit.

Cell lengths 4.4896, 4.4896, 4.3317 Å; angles 90.00, 90.00, 90.00 degrees
Last column: nearest neighbours and their distance in Å.
Fractional coordinates of all 5 atoms:
Sr 0.0000 0.0000 0.0000  2 F 2.17, 4 N 2.24
Y 0.5000 0.5000 0.5000  8 N 3.12, 4 F 3.17
N 0.0000 0.5000 0.0000  2 Sr 2.24
N 0.5000 0.0000 0.0000  2 Sr 2.24
F 0.0000 0.0000 0.5000  2 Sr 2.17

***

# 3
## SrZnN2F (PBE-GGA)

Data for an optimized crystal structure of SrZnN2F.

Properties
The formation energy from raw total energies is -1.90 eV per formula unit.

Cell lengths 3.8335, 3.8335, 4.6464 Å; angles 90.00, 90.00, 90.00 degrees
Last column: nearest neighbours and their distance in Å.
Fractional coordinates of all 5 atoms:
Sr 0.0000 0.0000 0.0000  4 F 2.71, 8 N 3.01
Zn 0.5000 0.5000 0.5000  4 N 1.92
N 0.0000 0.5000 0.5000  2 Zn 1.92
N 0.5000 0.0000 0.5000  2 Zn 1.92
F 0.5000 0.5000 0.0000  2 Zn 2.32

***

no.,total magnetization (μB/f.u.),E above lowest polymorph (eV/atom),density of states at the Fermi level (states/eV/atom)
1,0.8,0.000,0.45
2,0.5,0.907,0.55
3,0.3,0.000,0.73